VASP calculation (PBE) on a relaxed structure of ErCuRhAu.

abc: 4.6332 4.6332 4.6332
angles: 60.00 60.00 60.00
Sites, in units of the cell vectors:
Er 0.7500 0.7500 0.7500
Cu 0.2500 0.2500 0.2500
Rh 0.0000 0.0000 0.0000
Au 0.5000 0.5000 0.5000

Computed properties:
The total magnetization is 0.00 μB/cell. The value obtained for the energy relative to the elements is -0.44 eV per atom.

=====

VASP calculation (PBE) on a relaxed structure of Ba3NaIrO6.

abc: 7.1569 7.1569 7.1569
angles: 91.46 91.46 91.46
Site moments in Bohr magnetons follow the coordinates.
Sites, in units of the cell vectors:
O 0.2664 0.9487 0.0819  0.11
O 0.5513 0.2336 0.4181  0.11
O 0.2336 0.4181 0.5513  0.11
O 0.7336 0.0513 0.9181  0.11
O 0.5819 0.4487 0.7664  0.11
O 0.4487 0.7664 0.5819  0.11
O 0.4181 0.5513 0.2336  0.11
O 0.0513 0.9181 0.7336  0.11
O 0.9487 0.0819 0.2664  0.11
O 0.9181 0.7336 0.0513  0.11
O 0.0819 0.2664 0.9487  0.11
O 0.7664 0.5819 0.4487  0.11
Ir 0.0000 0.0000 0.0000  1.09
Ir 0.5000 0.5000 0.5000  1.09
Ba 0.7500 0.3938 0.1062  0.00
Ba 0.2500 0.6062 0.8938  0.00
Ba 0.3938 0.1062 0.7500  0.00
Ba 0.1062 0.7500 0.3938  0.00
Ba 0.6062 0.8938 0.2500  0.00
Ba 0.8938 0.2500 0.6062  0.00
Na 0.7500 0.7500 0.7500  0.00
Na 0.2500 0.2500 0.2500  0.00

Computed properties:
The total magnetization is 4.04 μB/cell. For the formation energy from raw total energies, the calculation gives -21.9 eV per formula unit.

=====

VASP calculation (PBE) on a relaxed structure of YSc2Tl.

abc: 4.5051 3.5145 7.3988
angles: 61.67 90.00 90.00
Sites, in units of the cell vectors:
Tl 0.0000 0.5102 0.4900
Sc 0.5000 0.2566 0.2444
Sc 0.0000 0.9845 0.0155
Y 0.5000 0.7487 0.7501

Computed properties:
The total magnetization is 0.12 μB/cell. The value obtained for the energy relative to the elements is -0.15 eV per atom.

=====

VASP calculation (PBE) on a relaxed structure of Pm2NpInO8.

abc: 4.0107 5.4424 7.6779
angles: 86.56 90.71 96.53
Sites, in units of the cell vectors:
O 0.4353 0.2226 0.0077
O 0.9553 0.2170 0.2345
O 0.9448 0.2492 0.8030
O 0.5796 0.7514 0.4812
O 0.4204 0.2486 0.5188
O 0.0447 0.7830 0.7655
O 0.0552 0.7508 0.1970
O 0.5647 0.7774 0.9923
Pm 0.4920 0.5187 0.7440
Pm 0.5080 0.4813 0.2560
In 0.0000 0.0000 0.5000
Np 0.0000 0.0000 0.0000

Computed properties:
The total magnetization is 0.00 μB/cell. For the formation energy from raw total energies, the calculation gives -32.0 eV per formula unit.

=====

VASP calculation (PBE) on a relaxed structure of DySc2AlN.

abc: 4.7318 4.4578 4.4578
angles: 90.00 90.00 90.00
Sites, in units of the cell vectors:
Sc 0.0000 0.5000 0.0000
Sc 0.0000 0.0000 0.5000
Al 0.5000 0.5000 0.5000
N 0.0000 0.0000 0.0000
Dy 0.5000 0.0000 0.0000

Computed properties:
The total magnetization is 0.00 μB/cell. For the formation energy from raw total energies, the calculation gives -5.0 eV per formula unit.

=====

VASP calculation (PBE) on a relaxed structure of NbCdB2.

abc: 6.1139 6.1139 5.2518
angles: 54.40 54.40 90.00
Sites, in units of the cell vectors:
B 0.3750 0.3832 0.7500
B 0.6168 0.1250 0.2500
B 0.1332 0.6250 0.2500
B 0.8750 0.8668 0.7500
Nb 0.5000 0.5000 0.0000
Nb 0.2500 0.7500 0.5000
Cd 0.7500 0.2500 0.5000
Cd 0.0000 0.0000 0.0000

Computed properties:
The total magnetization is 0.00 μB/cell. The value obtained for the energy relative to the elements is 0.79 eV per atom.